(1)
Density functional theory data (PBE-GGA) for a relaxed CsHg3Au crystal.

a b c (Å): 7.5401 11.5275 7.4140
angles (deg): 90.00 90.00 90.00
Last column: nearest neighbours and their distance in Å.
Space group Cmcm (No. 63)
Asymmetric unit:
Cs (0.0000, 0.2360, 0.2500) [4 per cell]  13 Hg 3.90-4.12, 4 Au 3.95-4.01
Hg (0.0000, 0.1209, 0.7500) [4 per cell]  1 Au 2.84, 4 Hg 3.12
Hg (0.2230, 0.5000, 0.0000) [8 per cell]  2 Au 2.93, 2 Hg 3.12
Au (0.0000, 0.3675, 0.7500) [4 per cell]  5 Hg 2.84-2.93

Results
Calculated volume, Å³ per cell: 644
VASP energy, eV per atom: -1.225

(2)
Density functional theory data (PBE-GGA) for a relaxed TmZr3 crystal.

a b c (Å): 5.2096 6.5953 5.7209
angles (deg): 90.00 90.00 90.00
Last column: nearest neighbours and their distance in Å.
Space group Pmmn (No. 59, origin choice 2)
Asymmetric unit:
Tm (0.2500, 0.2500, 0.1605) [2 per cell]  12 Zr 3.26-3.30
Zr (0.2500, 0.0039, 0.6625) [4 per cell]  8 Zr 3.20-3.41, 4 Tm 3.26-3.30
Zr (0.2500, 0.7500, 0.1823) [2 per cell]  8 Zr 3.20-3.41, 4 Tm 3.26-3.30

Results
Calculated volume, Å³ per cell: 197
VASP energy, eV per atom: -7.511
Spin magnetization, μB per formula unit: 0.00
Energy of formation from the pure elements, eV per atom: 0.018

(3)
Density functional theory data (PBE-GGA) for a relaxed LuHgTeO crystal.

a b c (Å): 4.0249 4.0249 10.6924
angles (deg): 90.00 90.00 90.00
Last column: nearest neighbours and their distance in Å.
Space group P4/nmm (No. 129, origin choice 2)
Asymmetric unit:
Lu (0.2500, 0.2500, 0.0900) [2 per cell]  4 O 2.23
Hg (0.2500, 0.7500, 0.5000) [2 per cell]  4 Hg 2.85
Te (0.2500, 0.2500, 0.7435) [2 per cell]  4 Hg 3.29, 4 Lu 3.36, 4 O 3.40
O (0.2500, 0.7500, 0.0000) [2 per cell]  4 Lu 2.23

Results
Calculated volume, Å³ per cell: 173
VASP energy, eV per atom: -4.861
Spin magnetization, μB per formula unit: 0.13

(4)
Density functional theory data (PBE-GGA) for a relaxed LiCdReOs crystal.

a b c (Å): 6.1929 6.1929 6.1929
angles (deg): 90.00 90.00 90.00
Last column: nearest neighbours and their distance in Å.
Space group F-43m (No. 216)
Asymmetric unit:
Li (0.0000, 0.0000, 0.0000) [4 per cell]  4 Cd 2.68, 4 Re 2.68
Cd (0.2500, 0.2500, 0.7500) [4 per cell]  4 Li 2.68, 4 Os 2.68
Re (0.2500, 0.2500, 0.2500) [4 per cell]  4 Li 2.68, 4 Os 2.68
Os (0.0000, 0.0000, 0.5000) [4 per cell]  4 Cd 2.68, 4 Re 2.68

Results
Calculated volume, Å³ per cell: 238
VASP energy, eV per atom: -6.311
Spin magnetization, μB per formula unit: 0.00

(5)
Density functional theory data (PBE-GGA) for a relaxed Tm3Ni7B2 crystal.

a b c (Å): 5.0402 5.0402 14.2865
angles (deg): 90.00 90.00 120.00
Last column: nearest neighbours and their distance in Å.
Space group P6_3/mmc (No. 194)
Asymmetric unit:
Tm (0.3333, 0.6667, 0.0327) [4 per cell]  12 Ni 2.95-3.01, 4 Tm 3.06-3.10
Tm (0.3333, 0.6667, 0.2500) [2 per cell]  12 Ni 2.91, 6 B 2.91, 2 Tm 3.10
Ni (0.0000, 0.0000, 0.0000) [2 per cell]  6 Ni 2.57
Ni (0.1657, 0.3314, 0.6483) [12 per cell]  2 B 2.05-2.06
B (0.0000, 0.0000, 0.2500) [2 per cell]  6 Ni 2.05
B (0.3333, 0.6667, 0.7500) [2 per cell]  6 Ni 2.06

Results
Calculated volume, Å³ per cell: 314
VASP energy, eV per atom: -6.024
Spin magnetization, μB per formula unit: 0.00

(6)
Density functional theory data (PBE-GGA) for a relaxed KLiTePd crystal.

a b c (Å): 7.0452 7.0452 7.0452
angles (deg): 90.00 90.00 90.00
Last column: nearest neighbours and their distance in Å.
Space group F-43m (No. 216)
Asymmetric unit:
K (0.0000, 0.0000, 0.0000) [4 per cell]  4 Pd 3.05, 4 Li 3.05
Li (0.2500, 0.2500, 0.7500) [4 per cell]  4 K 3.05, 4 Te 3.05
Te (0.0000, 0.0000, 0.5000) [4 per cell]  4 Li 3.05, 4 Pd 3.05
Pd (0.2500, 0.2500, 0.2500) [4 per cell]  4 Te 3.05, 4 K 3.05

Results
Calculated volume, Å³ per cell: 350
VASP energy, eV per atom: -3.286

(7)
Density functional theory data (PBE-GGA) for a relaxed Ba2Ni crystal.

a b c (Å): 4.4989 4.4989 14.4598
angles (deg): 90.00 90.00 120.00
Last column: nearest neighbours and their distance in Å.
Space group P6_3mc (No. 186)
Asymmetric unit:
Ba (0.0000, 0.0000, 0.0000) [2 per cell]  3 Ni 3.09
Ba (0.3333, 0.6667, 0.2320) [2 per cell]  3 Ni 3.09
Ni (0.3333, 0.6667, 0.6158) [2 per cell]  6 Ba 3.09

Results
Calculated volume, Å³ per cell: 253
VASP energy, eV per atom: -3.107
Spin magnetization, μB per formula unit: 0.00

(8)
Density functional theory data (PBE-GGA) for a relaxed Pr4AgAu3 crystal.

a b c (Å): 5.9039 4.8814 7.5424
angles (deg): 90.00 90.14 90.00
Last column: nearest neighbours and their distance in Å.
Space group Pm (No. 6)
Asymmetric unit:
Pr (0.0000, 0.0000, 0.0000) [1 per cell]  2 Ag 3.16-3.17, 5 Au 3.18-3.25
Pr (0.2091, 0.0000, 0.5054) [1 per cell]  6 Au 3.10-3.22, 1 Ag 3.19
Pr (0.4982, 0.5000, 0.8674) [1 per cell]  5 Au 3.09-3.20, 2 Ag 3.24
Pr (0.7213, 0.5000, 0.3749) [1 per cell]  5 Au 3.15-3.19, 2 Ag 3.24
Ag (0.5012, 0.0000, 0.1506) [1 per cell]  2 Au 3.01, 7 Pr 3.16-3.24
Au (0.0042, 0.5000, 0.7301) [1 per cell]  2 Au 3.08, 7 Pr 3.09-3.21
Au (0.2199, 0.5000, 0.2263) [1 per cell]  2 Ag 3.01, 7 Pr 3.15-3.25
Au (0.7031, 0.0000, 0.6461) [1 per cell]  2 Au 3.08, 7 Pr 3.10-3.20

Results
Calculated volume, Å³ per cell: 217
VASP energy, eV per atom: -4.634
Spin magnetization, μB per formula unit: 0.01
Energy of formation from the pure elements, eV per atom: -0.669

(9)
Density functional theory data (PBE-GGA) for a relaxed Ta2AgHg crystal.

a b c (Å): 6.7095 6.7095 6.7095
angles (deg): 90.00 90.00 90.00
Last column: nearest neighbours and their distance in Å.
Space group F-43m (No. 216)
Asymmetric unit:
Ta (0.0000, 0.0000, 0.0000) [4 per cell]  4 Hg 2.91, 4 Ta 2.91
Ta (0.2500, 0.2500, 0.2500) [4 per cell]  4 Ta 2.91, 4 Ag 2.91
Ag (0.0000, 0.0000, 0.5000) [4 per cell]  4 Hg 2.91, 4 Ta 2.91
Hg (0.2500, 0.2500, 0.7500) [4 per cell]  4 Ta 2.91, 4 Ag 2.91

Results
Calculated volume, Å³ per cell: 302
VASP energy, eV per atom: -6.066
Spin magnetization, μB per formula unit: 0.30
Energy of formation from the pure elements, eV per atom: 0.640

(10)
Density functional theory data (PBE-GGA) for a relaxed Pr4CI2Cl3 crystal.

a b c (Å): 19.0695 3.9884 8.2450
angles (deg): 90.00 101.96 90.00
Last column: nearest neighbours and their distance in Å.
Space group C2/m (No. 12)
Asymmetric unit:
Pr (0.0008, 0.0000, 0.2857) [4 per cell]  2 C 2.67, 1 Cl 2.87
Pr (0.1369, 0.5000, 0.5753) [4 per cell]  1 C 2.55, 2 Cl 2.86
C (0.0000, 0.5000, 0.5000) [2 per cell]  6 Pr 2.55-2.67
I (0.1732, 0.0000, 0.2988) [4 per cell]  4 Pr 3.21-3.55
Cl (0.0000, 0.5000, 0.0000) [2 per cell]  4 Pr 3.08
Cl (0.1519, 0.0000, 0.8281) [4 per cell]  3 Pr 2.86-2.87

Results
Calculated volume, Å³ per cell: 613
VASP energy, eV per atom: -5.148
Spin magnetization, μB per formula unit: 0.22

(11)
Density functional theory data (PBE-GGA) for a relaxed TbTe2 crystal.

a b c (Å): 13.3905 13.3905 13.3905
angles (deg): 90.00 90.00 90.00
Last column: nearest neighbours and their distance in Å.
Space group Fd-3m (No. 227, origin choice 2)
Asymmetric unit:
Tb (0.1250, 0.1250, 0.1250) [8 per cell]  4 Te 2.90
Te (0.0000, 0.0000, 0.0000) [16 per cell]  2 Tb 2.90

Results
Calculated volume, Å³ per cell: 2401
VASP energy, eV per atom: -4.123
Spin magnetization, μB per formula unit: 0.97

(12)
Density functional theory data (PBE-GGA) for a relaxed Lu2AlIr3 crystal.

a b c (Å): 5.5236 5.5236 7.9290
angles (deg): 90.00 90.00 120.00
Last column: nearest neighbours and their distance in Å.
Space group P6_3/mmc (No. 194)
Asymmetric unit:
Lu (0.3333, 0.6667, 0.0610) [4 per cell]  9 Ir 2.92-3.14, 1 Lu 3.00, 3 Al 3.23
Al (0.0000, 0.0000, 0.0000) [2 per cell]  6 Ir 2.57
Ir (0.1703, 0.3406, 0.7500) [6 per cell]  2 Al 2.57, 4 Ir 2.70-2.82

Results
Calculated volume, Å³ per cell: 210
VASP energy, eV per atom: -7.544
Spin magnetization, μB per formula unit: 0.01

(13)
Density functional theory data (PBE-GGA) for a relaxed TmNbIr crystal.

a b c (Å): 6.3941 6.3941 6.3941
angles (deg): 90.00 90.00 90.00
Last column: nearest neighbours and their distance in Å.
Space group F-43m (No. 216)
Asymmetric unit:
Tm (0.0000, 0.0000, 0.0000) [4 per cell]  4 Nb 2.77, 4 Ir 2.77
Nb (0.2500, 0.2500, 0.2500) [4 per cell]  4 Tm 2.77
Ir (0.2500, 0.2500, 0.7500) [4 per cell]  4 Tm 2.77

Results
Calculated volume, Å³ per cell: 261
VASP energy, eV per atom: -6.964
Spin magnetization, μB per formula unit: 1.48
Energy of formation from the pure elements, eV per atom: 0.844

(14)
Density functional theory data (PBE-GGA) for a relaxed Hf2SiHg crystal.

a b c (Å): 6.8448 6.8448 6.8448
angles (deg): 90.00 90.00 90.00
Last column: nearest neighbours and their distance in Å.
Space group F-43m (No. 216)
Asymmetric unit:
Hf (0.0000, 0.0000, 0.0000) [4 per cell]  4 Hf 2.96, 4 Hg 2.96
Hf (0.2500, 0.2500, 0.2500) [4 per cell]  4 Hf 2.96, 4 Si 2.96
Si (0.0000, 0.0000, 0.5000) [4 per cell]  4 Hg 2.96, 4 Hf 2.96
Hg (0.2500, 0.2500, 0.7500) [4 per cell]  4 Hf 2.96, 4 Si 2.96

Results
Calculated volume, Å³ per cell: 321
VASP energy, eV per atom: -5.951
Spin magnetization, μB per formula unit: 0.90

(15)
Density functional theory data (PBE-GGA) for a relaxed ThZn2 crystal.

a b c (Å): 4.4554 4.4554 3.7126
angles (deg): 90.00 90.00 120.00
Last column: nearest neighbours and their distance in Å.
Space group P6/mmm (No. 191)
Asymmetric unit:
Th (0.0000, 0.0000, 0.0000) [1 per cell]  12 Zn 3.17
Zn (0.3333, 0.6667, 0.5000) [2 per cell]  3 Zn 2.57

Results
Calculated volume, Å³ per cell: 64
VASP energy, eV per atom: -3.580
Spin magnetization, μB per formula unit: 0.06
Energy of formation from the pure elements, eV per atom: -0.266

(16)
Density functional theory data (PBE-GGA) for a relaxed ZnCoCuSn crystal.

a b c (Å): 6.0986 6.0986 6.0986
angles (deg): 90.00 90.00 90.00
Last column: nearest neighbours and their distance in Å.
Space group F-43m (No. 216)
Asymmetric unit:
Zn (0.0000, 0.0000, 0.0000) [4 per cell]  4 Co 2.64, 4 Cu 2.64
Co (0.2500, 0.2500, 0.7500) [4 per cell]  4 Sn 2.64, 4 Zn 2.64
Cu (0.2500, 0.2500, 0.2500) [4 per cell]  4 Sn 2.64, 4 Zn 2.64
Sn (0.0000, 0.0000, 0.5000) [4 per cell]  4 Co 2.64, 4 Cu 2.64

Results
Calculated volume, Å³ per cell: 227
VASP energy, eV per atom: -3.967
Spin magnetization, μB per formula unit: 0.00

(17)
Density functional theory data (PBE-GGA) for a relaxed Pr2GdGe7 crystal.

a b c (Å): 4.1230 25.3215 4.2743
angles (deg): 90.00 90.00 90.00
Last column: nearest neighbours and their distance in Å.
Space group Cmmm (No. 65)
Asymmetric unit:
Pr (0.0000, 0.1798, 0.0000) [4 per cell]  10 Ge 3.10-3.35
Gd (0.0000, 0.0000, 0.0000) [2 per cell]  12 Ge 2.97-3.11
Ge (0.0000, 0.0891, 0.5000) [4 per cell]  6 Ge 2.97-3.06, 2 Gd 3.11, 2 Pr 3.14
Ge (0.0000, 0.2817, 0.5000) [4 per cell]  2 Ge 2.61
Ge (0.0000, 0.4115, 0.0000) [4 per cell]  6 Ge 2.97-3.10, 2 Gd 3.05, 2 Pr 3.10
Ge (0.0000, 0.5000, 0.5000) [2 per cell]  4 Gd 2.97, 8 Ge 3.06-3.10

Results
Calculated volume, Å³ per cell: 446
VASP energy, eV per atom: -5.196
Spin magnetization, μB per formula unit: 0.00

(18)
Density functional theory data (PBE-GGA) for a relaxed PuZnTc crystal.

a b c (Å): 6.2109 6.2109 6.2109
angles (deg): 90.00 90.00 90.00
Last column: nearest neighbours and their distance in Å.
Space group F-43m (No. 216)
Asymmetric unit:
Pu (0.0000, 0.0000, 0.0000) [4 per cell]  4 Tc 2.69, 4 Zn 2.69
Zn (0.2500, 0.2500, 0.2500) [4 per cell]  4 Pu 2.69
Tc (0.2500, 0.2500, 0.7500) [4 per cell]  4 Pu 2.69

Results
Calculated volume, Å³ per cell: 240
VASP energy, eV per atom: -7.781
Spin magnetization, μB per formula unit: 4.06
Energy of formation from the pure elements, eV per atom: 0.803

(19)
Density functional theory data (PBE-GGA) for a relaxed CdInSn crystal.

a b c (Å): 7.0739 7.0739 7.0739
angles (deg): 90.00 90.00 90.00
Last column: nearest neighbours and their distance in Å.
Space group F-43m (No. 216)
Asymmetric unit:
Cd (0.0000, 0.0000, 0.0000) [4 per cell]  4 Sn 3.06
In (0.0000, 0.0000, 0.5000) [4 per cell]  4 Sn 3.06
Sn (0.2500, 0.2500, 0.2500) [4 per cell]  4 Cd 3.06, 4 In 3.06

Results
Calculated volume, Å³ per cell: 354
VASP energy, eV per atom: -2.468

(20)
Density functional theory data (PBE-GGA) for a relaxed NdTmNi2Ge4 crystal.

a b c (Å): 4.2111 4.1691 16.7066
angles (deg): 90.00 90.00 90.00
Last column: nearest neighbours and their distance in Å.
Space group Amm2 (No. 38)
Asymmetric unit:
Nd (0.0000, 0.0000, 0.0000) [2 per cell]  10 Ge 3.16-3.26, 4 Ni 3.21
Tm (0.5000, 0.0000, 0.7842) [2 per cell]  10 Ge 3.12-3.25, 4 Ni 3.19
Ni (0.0000, 0.0000, 0.2132) [2 per cell]  5 Ge 2.28-2.39
Ni (0.5000, 0.0000, 0.5740) [2 per cell]  5 Ge 2.35-2.41
Ge (0.0000, 0.0000, 0.3497) [2 per cell]  1 Ni 2.28, 2 Ge 2.53
Ge (0.0000, 0.0000, 0.6438) [2 per cell]  4 Ni 2.39-2.41
Ge (0.5000, 0.0000, 0.1453) [2 per cell]  4 Ni 2.39-2.40
Ge (0.5000, 0.0000, 0.4334) [2 per cell]  1 Ni 2.35, 2 Ge 2.53

Results
Calculated volume, Å³ per cell: 293
VASP energy, eV per atom: -5.555
Spin magnetization, μB per formula unit: 0.00